# 1
A relaxed Y6ZrTe crystal, computed with PBE.

a = 6.2272 Å, b = 6.2272 Å, c = 6.2272 Å
α = 93.22°, β = 93.22°, γ = 93.22°
Closest atoms and distances in Å follow each position.
Element x y z (fractional)
Te  0.0000  0.0000  0.0000  6 Y 3.29
Y  0.5246  0.7488  0.0325  2 Y 3.10-3.21, 1 Te 3.29, 1 Zr 3.38
Y  0.9675  0.4754  0.2512  2 Y 3.10-3.21, 1 Te 3.29, 1 Zr 3.38
Y  0.2512  0.9675  0.4754  2 Y 3.10-3.21, 1 Te 3.29, 1 Zr 3.38
Y  0.7488  0.0325  0.5246  2 Y 3.10-3.21, 1 Te 3.29, 1 Zr 3.38
Y  0.0325  0.5246  0.7488  2 Y 3.10-3.21, 1 Te 3.29, 1 Zr 3.38
Y  0.4754  0.2512  0.9675  2 Y 3.10-3.21, 1 Te 3.29, 1 Zr 3.38
Zr  0.5000  0.5000  0.5000  12 Y 3.38-3.57

## Properties
Magnetic moment   0.16 μB/f.u.
Electronic total energy   -51.609 eV per formula unit

---

# 2
A relaxed Zn3Te crystal, computed with PBE.

a = 6.2916 Å, b = 6.3242 Å, c = 4.5072 Å
α = 90.00°, β = 90.00°, γ = 119.90°
Closest atoms and distances in Å follow each position.
Element x y z (fractional)
Te  0.0012  0.0021  0.0000  12 Zn 3.02-3.18
Te  0.3323  0.6647  0.5000  12 Zn 3.02-3.18
Zn  0.5183  0.0370  0.0000  6 Zn 2.77-2.81, 2 Te 3.04
Zn  0.5186  0.4814  0.0000  6 Zn 2.77-2.81, 2 Te 3.02
Zn  0.9630  0.4817  0.0000  6 Zn 2.77-2.81, 2 Te 3.02
Zn  0.3703  0.1850  0.5000  6 Zn 2.77-2.81, 2 Te 3.02
Zn  0.8148  0.1851  0.5000  6 Zn 2.77-2.81, 2 Te 3.02
Zn  0.8149  0.6296  0.5000  6 Zn 2.77-2.81, 2 Te 3.04

## Properties
Electronic total energy   -6.283 eV per formula unit

---

# 3
A relaxed Zn3Te crystal, computed with PBE.

a = 5.5399 Å, b = 6.7818 Å, c = 4.2260 Å
α = 90.00°, β = 90.00°, γ = 90.00°
Closest atoms and distances in Å follow each position.
Element x y z (fractional)
Te  0.1402  0.0000  0.0000  4 Zn 2.76-2.79
Te  0.1931  0.5000  0.5000  4 Zn 2.76-2.79
Zn  0.5186  0.2657  0.0000  3 Zn 2.49-2.68, 1 Te 2.76
Zn  0.8642  0.5000  0.0000  2 Zn 2.49
Zn  0.5186  0.7343  0.0000  3 Zn 2.49-2.68, 1 Te 2.76
Zn  0.4692  0.0000  0.5000  2 Zn 2.49
Zn  0.8148  0.2343  0.5000  3 Zn 2.49-2.68, 1 Te 2.76
Zn  0.8148  0.7657  0.5000  3 Zn 2.49-2.68, 1 Te 2.76

## Properties
Electronic total energy   -6.843 eV per formula unit

---

# 4
A relaxed Zn3Te crystal, computed with PBE.

a = 6.5660 Å, b = 6.8744 Å, c = 4.1865 Å
α = 90.00°, β = 90.00°, γ = 118.52°
Closest atoms and distances in Å follow each position.
Element x y z (fractional)
Te  0.0617  0.6234  0.0000  6 Zn 2.86-2.89
Te  0.7716  0.0432  0.5000  6 Zn 2.86-2.89
Zn  0.4766  0.0477  0.0000  4 Zn 2.66-2.80, 3 Te 2.86-2.89
Zn  0.0711  0.0478  0.0000  4 Zn 2.66-2.81, 3 Te 2.86-2.89
Zn  0.4783  0.4565  0.0000  8 Zn 2.57-2.81
Zn  0.3551  0.2101  0.5000  8 Zn 2.57-2.81
Zn  0.7622  0.6189  0.5000  4 Zn 2.66-2.81, 3 Te 2.86-2.89
Zn  0.3567  0.6189  0.5000  4 Zn 2.66-2.80, 3 Te 2.86-2.89

## Properties
Electronic total energy   -6.805 eV per formula unit

---

# 5
A relaxed Zr2Te crystal, computed with PBE.

a = 5.8795 Å, b = 5.8795 Å, c = 5.8795 Å
α = 60.00°, β = 60.00°, γ = 60.00°
Closest atoms and distances in Å follow each position.
Element x y z (fractional)
Te  0.0000  0.0000  0.0000  12 Zr 3.45, 4 Te 3.60
Te  0.2500  0.2500  0.2500  12 Zr 3.45, 4 Te 3.60
Zr  0.6250  0.6250  0.1250  6 Zr 2.94
Zr  0.6250  0.1250  0.6250  6 Zr 2.94
Zr  0.1250  0.6250  0.6250  6 Zr 2.94
Zr  0.6250  0.6250  0.6250  6 Zr 2.94

## Properties
Magnetic moment   0.00 μB/f.u.
Electronic total energy   -20.093 eV per formula unit

---

# 6
A relaxed Zr2Te crystal, computed with PBE.

a = 5.2632 Å, b = 9.6547 Å, c = 5.4541 Å
α = 90.00°, β = 90.00°, γ = 90.00°
Closest atoms and distances in Å follow each position.
Element x y z (fractional)
Te  0.0301  0.0069  0.0000  7 Zr 2.99-3.25, 2 Te 3.32
Te  0.0301  0.6597  0.0000  7 Zr 2.99-3.25, 2 Te 3.32
Te  0.8033  0.1597  0.5000  7 Zr 2.99-3.25, 2 Te 3.32
Te  0.8033  0.5069  0.5000  7 Zr 2.99-3.25, 2 Te 3.32
Zr  0.5238  0.1601  0.0000  4 Te 2.99-3.10, 6 Zr 3.11-3.34
Zr  0.0256  0.3333  0.0000  6 Zr 3.11-3.17, 6 Te 3.15-3.41
Zr  0.5238  0.5066  0.0000  4 Te 2.99-3.10, 6 Zr 3.11-3.34
Zr  0.5010  0.8333  0.0000  4 Te 2.99-3.25, 4 Zr 3.16-3.17
Zr  0.3095  0.0066  0.5000  4 Te 2.99-3.10, 6 Zr 3.11-3.34
Zr  0.3323  0.3333  0.5000  4 Te 2.99-3.25, 4 Zr 3.16-3.17
Zr  0.3095  0.6601  0.5000  4 Te 2.99-3.10, 6 Zr 3.11-3.34
Zr  0.8077  0.8333  0.5000  6 Zr 3.11-3.17, 6 Te 3.15-3.41

## Properties
Magnetic moment   0.01 μB/f.u.
Electronic total energy   -21.337 eV per formula unit

---

# 7
A relaxed Zr2Te crystal, computed with PBE.

a = 14.6683 Å, b = 3.7118 Å, c = 4.9463 Å
α = 90.00°, β = 90.00°, γ = 90.00°
Closest atoms and distances in Å follow each position.
Element x y z (fractional)
Te  0.3206  0.0000  0.0000  10 Zr 3.01-3.23
Te  0.8206  0.5000  0.0000  10 Zr 3.01-3.23
Te  0.1239  0.0000  0.5000  10 Zr 3.01-3.23
Te  0.6238  0.5000  0.5000  10 Zr 3.01-3.23
Zr  0.6533  0.0000  0.0000  6 Te 3.08-3.12, 4 Zr 3.13-3.19
Zr  0.9819  0.0000  0.0000  4 Te 3.01-3.23, 6 Zr 3.10-3.13
Zr  0.1533  0.5000  0.0000  6 Te 3.08-3.12, 4 Zr 3.13-3.19
Zr  0.4819  0.5000  0.0000  4 Te 3.01-3.23, 6 Zr 3.10-3.13
Zr  0.4626  0.0000  0.5000  4 Te 3.01-3.23, 6 Zr 3.10-3.13
Zr  0.7911  0.0000  0.5000  6 Te 3.08-3.12, 4 Zr 3.13-3.19
Zr  0.2912  0.5000  0.5000  6 Te 3.08-3.12, 4 Zr 3.13-3.19
Zr  0.9626  0.5000  0.5000  4 Te 3.01-3.23, 6 Zr 3.10-3.13

## Properties
Magnetic moment   0.00 μB/f.u.
Electronic total energy   -21.715 eV per formula unit

---

# 8
A relaxed Zr5Te6 crystal, computed with PBE.

a = 11.7872 Å, b = 11.7872 Å, c = 7.1620 Å
α = 90.00°, β = 90.00°, γ = 120.00°
Closest atoms and distances in Å follow each position.
Element x y z (fractional)
Te  0.5589  0.1179  0.2083  5 Zr 2.90-3.06
Te  0.5589  0.4411  0.2083  5 Zr 2.90-3.06
Te  0.8821  0.4411  0.2083  5 Zr 2.90-3.06
Te  0.2247  0.4493  0.2444  5 Zr 2.92-2.95
Te  0.2247  0.7753  0.2444  5 Zr 2.92-2.95
Te  0.5507  0.7753  0.2444  5 Zr 2.92-2.95
Te  0.2129  0.1064  0.2898  5 Zr 2.85-3.03
Te  0.8936  0.1064  0.2898  5 Zr 2.85-3.03
Te  0.8936  0.7871  0.2898  5 Zr 2.85-3.03
Te  0.1064  0.2129  0.7101  5 Zr 2.85-3.03
Te  0.1064  0.8936  0.7101  5 Zr 2.85-3.03
Te  0.7871  0.8936  0.7101  5 Zr 2.85-3.03
Te  0.4493  0.2247  0.7556  5 Zr 2.92-2.95
Te  0.7753  0.2247  0.7556  5 Zr 2.92-2.95
Te  0.7753  0.5507  0.7556  5 Zr 2.92-2.95
Te  0.1179  0.5589  0.7917  5 Zr 2.90-3.06
Te  0.4411  0.5589  0.7917  5 Zr 2.90-3.06
Te  0.4411  0.8821  0.7917  5 Zr 2.90-3.06
Zr  0.0000  0.0000  0.0000  6 Te 3.01
Zr  0.2977  0.0000  0.0000  6 Te 2.85-3.06
Zr  0.7023  0.0000  0.0000  6 Te 2.85-3.06
Zr  0.0000  0.2977  0.0000  6 Te 2.85-3.06
Zr  0.2977  0.2977  0.0000  6 Te 2.85-3.06
Zr  0.0000  0.7023  0.0000  6 Te 2.85-3.06
Zr  0.7023  0.7023  0.0000  6 Te 2.85-3.06
Zr  0.6667  0.3333  0.4885  6 Te 2.93-2.98
Zr  0.3627  0.0000  0.5000  6 Te 2.90-3.03, 1 Zr 3.24
Zr  0.6373  0.0000  0.5000  6 Te 2.90-3.03, 1 Zr 3.24
Zr  0.0000  0.3627  0.5000  6 Te 2.90-3.03, 1 Zr 3.24
Zr  0.3627  0.3627  0.5000  6 Te 2.90-3.03, 1 Zr 3.24
Zr  0.0000  0.6373  0.5000  6 Te 2.90-3.03, 1 Zr 3.24
Zr  0.6373  0.6373  0.5000  6 Te 2.90-3.03, 1 Zr 3.24
Zr  0.3333  0.6667  0.5115  6 Te 2.93-2.98

## Properties
Magnetic moment   0.01 μB/f.u.
Electronic total energy   -71.432 eV per formula unit